## Fe2GeHO (GGA+U)

Data for Fe2GeHO after structural relaxation.

Values from the calculation:
Space-group type: P4/mmm
E, eV/atom: -4.456
DOS(E_F), states/eV per cell: 1.14

a b c (Å): 3.570 4.801 3.570
angles (deg): 90.00 90.00 90.00
Last column: magnetic moment on the atom in μB.
Sites, in units of the cell vectors:
1 H 0.000 0.000 0.000  -0.03
2 Ge 0.500 0.500 0.500  -0.03
3 Fe 0.000 0.000 0.500  3.39
4 Fe 0.500 0.000 0.000  3.49
5 O 0.000 0.500 0.000  0.21